Compound: K2OsBr
Source: the Alexandria database
Functional: PBE-GGA
Structure: optimized geometry

It has space group F-43m (No. 216), with a = 8.0117 Å, b = 8.0117 Å, c = 8.0117 Å, α = 90.00°, β = 90.00° and γ = 90.00°. The asymmetric unit holds K at (0.0000, 0.0000, 0.0000), K at (0.2500, 0.2500, 0.2500), Os at (0.2500, 0.2500, 0.7500) and Br at (0.0000, 0.0000, 0.5000).

The calculation puts the final energy at -46.485 eV for the cell shown. The uncorrected formation energy is 0.869 eV per atom. For the polymorph energy (0 for the lowest one), the calculation gives 395 meV/atom.